VASP calculation (PBE) on a geometry-optimized MnGe3I8 structure.

As for the crystal system: monoclinic. For the formation energy without anion corrections, the calculation gives -408 kJ/mol of formula units.

The space group is C2/m (No. 12) and the conventional cell measures 14.792, 8.542 and 9.074 Å, with angles of 90.00, 123.51 and 90.00 degrees. The inequivalent atoms are Mn at (0.000, 0.000, 0.000), Ge at (0.000, 0.500, 0.000), Ge at (0.250, 0.250, 0.000), I at (0.005, 0.241, 0.776), I at (0.237, 0.000, 0.224) and I at (0.245, 0.500, 0.232).